Computed, not measured: an optimized crystal structure of Zn5Cu2Rh at the PBE-GGA level of DFT. Values from VASP.

Structure (Quantum ESPRESSO input):
```
&SYSTEM
  ibrav = 0, nat = 16, ntyp = 3
/
ATOMIC_SPECIES
Zn 65.41 Zn.upf
Cu 63.55 Cu.upf
Rh 102.91 Rh.upf
CELL_PARAMETERS angstrom
-3.3332 3.3332 5.0634
3.3332 -3.3332 5.0634
3.3332 3.3332 -5.0634
ATOMIC_POSITIONS angstrom
Zn 0.0000 0.0000 0.0000
Zn 2.3073 -1.0259 1.6230
Zn 4.3592 -1.0259 3.4404
Zn 4.3592 1.0259 1.6230
Zn 2.3073 1.0259 3.4404
Zn 0.0000 0.0000 5.0634
Zn 1.0259 2.3073 1.6230
Zn -1.0259 2.3073 3.4404
Zn -1.0259 4.3592 1.6230
Zn 1.0259 4.3592 3.4404
Cu 2.4125 0.9207 0.0000
Cu 2.4125 -0.9207 5.0634
Cu 0.9207 4.2539 0.0000
Cu 0.9207 2.4125 5.0634
Rh 0.0000 0.0000 2.5317
Rh 0.0000 0.0000 7.5951
```

Summary:
excess energy over the best structure of this formula in the dataset: 0.92 eV/f.u.
spin magnetization: 0.0 μB/f.u.
electronic total energy: -2.840 eV/atom
ΔE_f: -0.10 eV per atom